MgAlTe2O8: relaxed, PBE.

**DOS at the Fermi energy**: 5.08 states/eV per cell
**Uncorrected formation energy**: -1.31 eV/atom
**Total magnetization**: 0.57 μB/f.u.

abc: 6.6074 6.6074 6.9056
angles: 90.00 90.00 90.00
Space group I-4m2 (No. 119)
Unique sites:
Mg1 0.0000 0.0000 0.0000 x2
Al1 0.0000 0.5000 0.2500 x2
Te1 0.0000 0.0000 0.5000 x2
Te2 0.0000 0.5000 0.7500 x2
O1 0.0000 0.2173 0.3094 x8
O2 0.0000 0.2993 0.9341 x8

PmThNb4: relaxed, PBE.

**DOS at the Fermi energy**: 22.16 states/eV per cell
**Energy of formation**: 0.13 eV per atom
**Total magnetization**: 0.00 μB/f.u.

abc: 8.1652 8.1652 8.1652
angles: 90.00 90.00 90.00
Space group F-43m (No. 216)
Unique sites:
Pm1 0.0000 0.0000 0.0000 x4
Th1 0.2500 0.2500 0.7500 x4
Nb1 0.1253 0.1253 0.3747 x16

Hf6H3C2N: relaxed, PBE.

**DOS at the Fermi energy**: 8.89 states/eV per cell
**Total magnetization**: 0.00 μB/f.u.
**E**: -8.847 eV per atom

abc: 5.6576 9.8044 5.5721
angles: 90.00 109.95 90.00
Space group C2/m (No. 12)
Unique sites:
Hf1 0.2449 0.1657 0.2357 x8
Hf2 0.2483 0.5000 0.2356 x4
H1 0.0000 0.1709 0.5000 x4
H2 0.0000 0.5000 0.5000 x2
C1 0.0000 0.3336 0.0000 x4
N1 0.0000 0.0000 0.0000 x2

Pm2Dy4HoSc: relaxed, PBE.

**DOS at the Fermi energy**: 11.52 states/eV per cell
**Energy of formation**: 0.03 eV per atom
**Total magnetization**: 0.00 μB/f.u.

abc: 5.0015 5.0015 9.9683
angles: 90.00 90.00 90.00
Space group P4/mmm (No. 123)
Unique sites:
Pm1 0.0000 0.0000 0.0000 x1
Pm2 0.5000 0.5000 0.5000 x1
Dy1 0.0000 0.5000 0.2456 x4
Ho1 0.0000 0.0000 0.5000 x1
Sc1 0.5000 0.5000 0.0000 x1

Ag6HgBr8: relaxed, PBE.

**Uncorrected formation energy**: -0.30 eV/atom
**Total magnetization**: 0.00 μB/f.u.

abc: 9.2168 9.2168 6.9342
angles: 90.00 90.00 120.00
Space group P-3 (No. 147)
Unique sites:
Ag1 0.1983 0.4536 0.4054 x6
Hg1 0.0000 0.0000 0.5000 x1
Br1 0.1148 0.8120 0.7253 x6
Br2 0.3333 0.6667 0.1224 x2

Ce2YHo: relaxed, PBE.

**DOS at the Fermi energy**: 31.52 states/eV per cell
**E above lowest polymorph**: 0.00 eV per formula unit
**Energy of formation**: 0.09 eV per atom
**Total magnetization**: 1.58 μB/f.u.

abc: 3.4895 3.4895 34.5210
angles: 90.00 90.00 120.00
Space group R-3m (No. 166, hexagonal axes)
Unique sites:
Ce1 0.0000 0.0000 0.2493 x6
Y1 0.0000 0.0000 0.0000 x3
Ho1 0.0000 0.0000 0.5000 x3

Pm7Cd2Os2: relaxed, PBE.

**DOS at the Fermi energy**: 25.16 states/eV per cell
**E above lowest polymorph**: 0.00 eV per formula unit
**Energy of formation**: -0.12 eV per atom
**Total magnetization**: 0.00 μB/f.u.

abc: 3.9483 15.7396 10.3087
angles: 90.00 90.00 90.00
Space group Imm2 (No. 44)
Unique sites:
Pm1 0.0000 0.0000 0.0000 x2
Pm2 0.0000 0.1480 0.5851 x4
Pm3 0.0000 0.3119 0.3656 x4
Pm4 0.0000 0.3606 0.7297 x4
Cd1 0.0000 0.0000 0.3648 x2
Cd2 0.0000 0.5000 0.2293 x2
Os1 0.0000 0.2107 0.0613 x4

Sr5Re: relaxed, PBE.

**DOS at the Fermi energy**: 13.52 states/eV per cell
**E above lowest polymorph**: 0.25 eV per formula unit
**Energy of formation**: 0.69 eV per atom
**Total magnetization**: 1.40 μB/f.u.

abc: 6.0051 3.9839 20.6919
angles: 90.00 90.00 90.00
Space group Amm2 (No. 38)
Unique sites:
Sr1 0.0000 0.0000 0.0000 x2
Sr2 0.0000 0.0000 0.2500 x2
Sr3 0.5000 0.0000 0.1648 x2
Sr4 0.5000 0.0000 0.5272 x2
Sr5 0.5000 0.0000 0.8525 x2
Re1 0.0000 0.0000 0.6217 x2

YPt2Au: relaxed, PBE.

**DOS at the Fermi energy**: 2.45 states/eV per cell
**Energy of formation**: -0.85 eV per atom
**Total magnetization**: 0.00 μB/f.u.

abc: 4.2231 4.2231 8.3138
angles: 90.00 90.00 90.00
Space group I4/mmm (No. 139)
Unique sites:
Y1 0.0000 0.0000 0.0000 x2
Pt1 0.0000 0.5000 0.2500 x4
Au1 0.0000 0.0000 0.5000 x2

PmBi2: relaxed, PBE.

**DOS at the Fermi energy**: 4.17 states/eV per cell
**E above lowest polymorph**: 0.20 eV per formula unit
**Energy of formation**: -0.54 eV per atom
**Total magnetization**: 0.00 μB/f.u.

abc: 5.9652 5.9527 6.0346
angles: 90.00 119.49 90.00
Space group C2/m (No. 12)
Unique sites:
Pm1 0.0000 0.0000 0.0000 x2
Bi1 0.1532 0.5000 0.3064 x4

Mn2RhW: relaxed, PBE.

**DOS at the Fermi energy**: 18.53 states/eV per cell
**E above lowest polymorph**: 0.67 eV per formula unit
**Energy of formation**: 0.15 eV per atom
**Total magnetization**: 0.79 μB/f.u.

abc: 2.7358 2.7358 25.7874
angles: 90.00 90.00 120.00
Space group R3m (No. 160, hexagonal axes)
Unique sites:
Mn1 0.0000 0.0000 0.0000 x3
Mn2 0.0000 0.0000 0.2593 x3
Rh1 0.0000 0.0000 0.5082 x3
W1 0.0000 0.0000 0.7559 x3

Nd6ErIn3: relaxed, PBE.

**DOS at the Fermi energy**: 24.56 states/eV per cell
**E above lowest polymorph**: 0.00 eV per formula unit
**Energy of formation**: -0.26 eV per atom
**Total magnetization**: 0.00 μB/f.u.

abc: 10.5290 5.2211 11.4251
angles: 90.00 96.64 90.00
Space group P2_1/m (No. 11)
Unique sites:
Nd1 0.0447 0.2500 0.4037 x2
Nd2 0.1342 0.7500 0.1892 x2
Nd3 0.2277 0.2500 0.9849 x2
Nd4 0.3249 0.7500 0.7820 x2
Nd5 0.3570 0.2500 0.2813 x2
Nd6 0.4323 0.2500 0.5902 x2
Er1 0.4523 0.7500 0.0930 x2
In1 0.0476 0.7500 0.8901 x2
In2 0.1427 0.2500 0.6929 x2
In3 0.2531 0.7500 0.4754 x2

TmCdCu10: relaxed, PBE.

**DOS at the Fermi energy**: 5.92 states/eV per cell
**Energy of formation**: -0.07 eV per atom
**Total magnetization**: 0.00 μB/f.u.

abc: 4.0811 4.9671 8.5921
angles: 90.00 90.00 90.00
Space group Pmmm (No. 47)
Unique sites:
Tm1 0.0000 0.0000 0.0000 x1
Cd1 0.0000 0.5000 0.5000 x1
Cu1 0.0000 0.0000 0.3407 x2
Cu2 0.0000 0.5000 0.1757 x2
Cu3 0.5000 0.0000 0.5000 x1
Cu4 0.5000 0.2462 0.2473 x4
Cu5 0.5000 0.5000 0.0000 x1

DyH9C5N2O8: relaxed, PBE.

**DOS at the Fermi energy**: 0.00 states/eV per cell
**Total magnetization**: 0.00 μB/f.u.
**E**: -6.507 eV per atom

abc: 11.3785 7.2846 6.6083
angles: 90.00 109.81 90.00
Space group C2 (No. 5)
Unique sites:
Dy1 0.0000 0.0000 0.0000 x2
H1 0.0000 0.0789 0.5000 x2
H2 0.0100 0.4512 0.1736 x4
H3 0.1211 0.6105 0.4648 x4
H4 0.1837 0.6496 0.8816 x4
H5 0.2157 0.4208 0.5956 x4
C1 0.0000 0.9277 0.5000 x2
C2 0.0867 0.3771 0.2942 x4
C3 0.2380 0.7084 0.0407 x4
N1 0.1478 0.4766 0.4643 x4
O1 0.0060 0.8466 0.3330 x4
O2 0.1105 0.2124 0.2653 x4
O3 0.1491 0.1643 0.8733 x4
O4 0.1791 0.8181 0.1237 x4

WBr2: relaxed, PBE.

**DOS at the Fermi energy**: 6.44 states/eV per cell
**E above lowest polymorph**: 4.97 eV per formula unit
**Uncorrected formation energy**: 1.19 eV/atom
**Total magnetization**: 3.97 μB/f.u.

abc: 4.5550 4.5550 8.8818
angles: 90.00 90.00 120.00
Space group P6_3/mmc (No. 194)
Unique sites:
W1 0.3333 0.6667 0.2500 x2
Br1 0.0000 0.0000 0.0000 x2
Br2 0.3333 0.6667 0.7500 x2

Nd4Sm2Er: relaxed, PBE.

**DOS at the Fermi energy**: 22.24 states/eV per cell
**E above lowest polymorph**: 2.64 eV per formula unit
**Energy of formation**: 0.44 eV per atom
**Total magnetization**: 0.00 μB/f.u.

abc: 6.1710 13.1360 6.0297
angles: 90.00 90.00 90.00
Space group Cmmm (No. 65)
Unique sites:
Nd1 0.0000 0.1373 0.0000 x4
Nd2 0.0000 0.3094 0.5000 x4
Sm1 0.0000 0.3904 0.0000 x4
Er1 0.0000 0.0000 0.5000 x2

Li5Ag3Br12: relaxed, PBE.

**DOS at the Fermi energy**: 152.32 states/eV per cell
**Uncorrected formation energy**: -0.68 eV/atom
**Total magnetization**: 3.39 μB/f.u.

abc: 16.6918 16.6918 16.6918
angles: 90.00 90.00 90.00
Space group Ia-3d (No. 230)
Unique sites:
Li1 0.0000 0.0000 0.0000 x16
Li2 0.0000 0.2500 0.3750 x24
Ag1 0.0000 0.2500 0.1250 x24
Br1 0.0069 0.0345 0.6588 x96

KInBrCl: relaxed, PBE.

**DOS at the Fermi energy**: 0.00 states/eV per cell
**E above lowest polymorph**: 0.00 eV per formula unit
**Uncorrected formation energy**: -1.29 eV/atom
**Total magnetization**: 0.00 μB/f.u.

abc: 4.6352 4.6351 6.6051
angles: 90.00 90.09 90.00
Space group Pm (No. 6)
Unique sites:
K1 0.0000 0.0000 0.0000 x1
In1 0.4972 0.5000 0.5110 x1
Br1 0.9961 0.0000 0.5025 x1
Cl1 0.4996 0.5000 0.9674 x1

Dy2MgZn: relaxed, PBE.

**DOS at the Fermi energy**: 4.63 states/eV per cell
**E above lowest polymorph**: 0.00 eV per formula unit
**Energy of formation**: -0.21 eV per atom
**Total magnetization**: 0.00 μB/f.u.

abc: 3.5807 3.5807 7.8113
angles: 90.00 90.00 90.00
Space group P4/mmm (No. 123)
Unique sites:
Dy1 0.0000 0.0000 0.2225 x2
Mg1 0.5000 0.5000 0.5000 x1
Zn1 0.5000 0.5000 0.0000 x1

RbLaCuMo2: relaxed, PBE.

**DOS at the Fermi energy**: 5.51 states/eV per cell
**Energy of formation**: 1.51 eV per atom
**Total magnetization**: 0.00 μB/f.u.

abc: 4.7665 4.7665 5.5672
angles: 90.00 90.00 90.00
Space group P4/mmm (No. 123)
Unique sites:
Rb1 0.0000 0.0000 0.0000 x1
La1 0.5000 0.5000 0.0000 x1
Cu1 0.0000 0.0000 0.5000 x1
Mo1 0.0000 0.5000 0.5000 x2